1.
The following is a DFT calculation (PBE) of crystalline K3Tb3ZrS8 at its relaxed geometry.

The space group is R-3m (No. 166, hexagonal axes) and the conventional cell measures 7.9646, 7.9646 and 22.5147 Å, with angles of 90.00, 90.00 and 120.00 degrees. Symmetry generates all atoms from K at (0.0000, 0.5000, 0.0000), Tb at (0.0000, 0.5000, 0.5000), Zr at (0.0000, 0.0000, 0.5000), S at (0.0000, 0.0000, 0.2340) and S at (0.0171, 0.5085, 0.2311).

The calculation puts the density of states at the Fermi level at 0.0 states/eV/f.u. As for the uncorrected formation energy: -1826 meV/atom.


2.
The following is a DFT calculation (PBE) of crystalline K4Tb3ZrS8 at its relaxed geometry.

The space group is R-3m (No. 166, hexagonal axes) and the conventional cell measures 7.9881, 7.9881 and 22.1498 Å, with angles of 90.00, 90.00 and 120.00 degrees. Symmetry generates all atoms from K at (0.0000, 0.0000, 0.0000), K at (0.0000, 0.5000, 0.0000), Tb at (0.0000, 0.5000, 0.5000), Zr at (0.0000, 0.0000, 0.5000), S at (0.0000, 0.0000, 0.2352) and S at (0.0130, 0.5065, 0.2336).

The calculation puts the density of states at the Fermi level at 4.7 states/eV/f.u. As for the uncorrected formation energy: -1767 meV/atom.